A.
Entry from Alexandria: crystalline RbCa3Al at its relaxed geometry (GGA-PBE).

Cell: 5.9455 5.9455 5.9455 Å, 90.00 90.00 90.00°
Space group Pm-3m (No. 221)
One atom of each set of equivalent atoms:
Rb  0.0000  0.0000  0.0000
Ca  0.0000  0.0000  0.5000
Al  0.5000  0.5000  0.5000


B.
Entry from Alexandria: crystalline RbCa3Al at its relaxed geometry (GGA-PBE).

Cell: 6.1239 6.1239 6.1239 Å, 90.00 90.00 90.00°
Space group Pm-3m (No. 221)
One atom of each set of equivalent atoms:
Rb  0.0000  0.0000  0.0000
Ca  0.0000  0.5000  0.5000
Al  0.5000  0.5000  0.5000


Which of the structures shown above is the most stable? The most stable is B.